Compound: VHO2F
Source: the Alexandria database
Functional: PBE+U
Structure: optimized geometry

Cell: 3.597 3.597 2.876 Å, 90.00 90.00 90.00°
Atoms (fractional coordinates):
V: 0.000 0.000 0.000
H: 0.500 0.500 0.500
O: 0.000 0.500 0.500
O: 0.500 0.000 0.500
F: 0.500 0.500 0.000

## Properties
- DFT total energy: -4.940 eV per atom
- Calculated volume: 37.2 Å³/cell
- Magnetic moment: 1.00 μB/f.u.